# PBE K6ZnCd3, relaxed
# size of the total moment	0.0	μB per formula unit
# energy	-0.0767	Ry/atom
# energy of formation from the pure elements	0.017	eV/atom
data_K6ZnCd3
_chemical_formula_sum 'K12 Zn2 Cd6'
_space_group_name_H-M_alt 'P 1 21/c 1'
_space_group_IT_number 14
_cell_length_a 10.720
_cell_length_b 7.176
_cell_length_c 15.013
_cell_angle_alpha 90.00
_cell_angle_beta 133.69
_cell_angle_gamma 90.00
loop_
_space_group_symop_operation_xyz
'x,y,z'
'-x,-y,-z'
'-x,y+1/2,-z+1/2'
'x,-y+1/2,z+1/2'
loop_
_atom_site_label
_atom_site_fract_x
_atom_site_fract_y
_atom_site_fract_z
K1 0.088 0.233 0.257
K2 0.244 0.067 0.077
K3 0.406 0.581 0.072
Zn1 0.500 0.000 0.000
Cd1 0.000 0.000 0.500
Cd2 0.284 0.645 0.260